#w
A plane-wave DFT calculation with GGA-PBE was carried out for HfTi3Ga after structural relaxation.

## Properties
Space group: Pm-3m (221)
Magnetization (μB per atom): 0.156
V (Å³/f.u.): 112.5

Cell and atoms, written as POSCAR:
```
HfTi3Ga
1.0
4.8276 0.0000 0.0000
0.0000 4.8276 0.0000
0.0000 0.0000 4.8276
Hf Ti Ga
1 3 1
direct
0.0000 0.0000 0.0000 Hf
0.0000 0.0000 0.5000 Ti
0.0000 0.5000 0.0000 Ti
0.5000 0.0000 0.0000 Ti
0.5000 0.5000 0.5000 Ga
```

=====

#x
A plane-wave DFT calculation with GGA-PBE was carried out for HfTi3Ga after structural relaxation.

## Properties
Space group: I4mm (107)
Magnetization (μB per atom): 0.000
V (Å³/f.u.): 92.3

Cell and atoms, written as POSCAR:
```
HfTi3Ga
1.0
-1.8956 1.8956 6.4236
1.8956 -1.8956 6.4236
1.8956 1.8956 -6.4236
Hf Ti Ga
1 3 1
direct
0.0000 0.0000 0.0000 Hf
0.2610 0.7610 0.5000 Ti
0.4093 0.4093 0.0000 Ti
0.7610 0.2610 0.5000 Ti
0.6062 0.6062 0.0000 Ga
```

=====

Which of them is most stable, and which least? Most stable: #x; least stable: #w.

=====

#w
A plane-wave DFT calculation with GGA-PBE was carried out for HfTiZnGa after structural relaxation.

## Properties
Space group: I-4m2 (119)
Magnetization (μB per atom): 0.000
V (Å³/f.u.): 67.8

Cell and atoms, written as POSCAR:
```
HfTiZnGa
1.0
-2.0891 2.0891 3.8810
2.0891 -2.0891 3.8810
2.0891 2.0891 -3.8810
Hf Ti Zn Ga
1 1 1 1
direct
0.0000 0.0000 0.0000 Hf
0.5000 0.5000 0.0000 Ti
0.2500 0.7500 0.5000 Zn
0.7500 0.2500 0.5000 Ga
```

=====

#x
A plane-wave DFT calculation with GGA-PBE was carried out for HfTiZnGa after structural relaxation.

## Properties
Space group: F-43m (216)
Magnetization (μB per atom): 0.002
V (Å³/f.u.): 68.1

Cell and atoms, written as POSCAR:
```
HfTiZnGa
1.0
0.0000 3.2408 3.2408
3.2408 0.0000 3.2408
3.2408 3.2408 0.0000
Hf Ti Zn Ga
1 1 1 1
direct
0.0000 0.0000 0.0000 Hf
0.5000 0.5000 0.5000 Ti
0.2500 0.2500 0.2500 Zn
0.7500 0.7500 0.7500 Ga
```

=====

Which of them is most stable, and which least? Most stable: #w; least stable: #x.

=====

#w
A plane-wave DFT calculation with GGA-PBE was carried out for HfTl3Ga after structural relaxation.

## Properties
Space group: Pm-3m (221)
Magnetization (μB per atom): 0.000
V (Å³/f.u.): 148.1

Cell and atoms, written as POSCAR:
```
HfTl3Ga
1.0
5.2903 0.0000 0.0000
0.0000 5.2903 0.0000
0.0000 0.0000 5.2903
Hf Tl Ga
1 3 1
direct
0.0000 0.0000 0.0000 Hf
0.0000 0.5000 0.5000 Tl
0.5000 0.0000 0.5000 Tl
0.5000 0.5000 0.0000 Tl
0.5000 0.5000 0.5000 Ga
```

=====

#x
A plane-wave DFT calculation with GGA-PBE was carried out for HfTl3Ga after structural relaxation.

## Properties
Space group: Pm-3m (221)
Magnetization (μB per atom): 0.000
V (Å³/f.u.): 178.8

Cell and atoms, written as POSCAR:
```
HfTl3Ga
1.0
5.6339 0.0000 0.0000
0.0000 5.6339 0.0000
0.0000 0.0000 5.6339
Hf Tl Ga
1 3 1
direct
0.0000 0.0000 0.0000 Hf
0.0000 0.0000 0.5000 Tl
0.0000 0.5000 0.0000 Tl
0.5000 0.0000 0.0000 Tl
0.5000 0.5000 0.5000 Ga
```

=====

Which of them is most stable, and which least? Most stable: #x; least stable: #w.

=====

#w
A plane-wave DFT calculation with GGA-PBE was carried out for HfTl2Ga after structural relaxation.

## Properties
Space group: I-42d (122)
Magnetization (μB per atom): 0.000
V (Å³/f.u.): 95.7

Cell and atoms, written as POSCAR:
```
HfTl2Ga
1.0
-3.9849 3.9849 3.0117
3.9849 -3.9849 3.0117
3.9849 3.9849 -3.0117
Hf Tl Ga
2 4 2
direct
0.0000 0.0000 0.0000 Hf
0.7500 0.2500 0.5000 Hf
0.1446 0.6250 0.0196 Tl
0.3750 0.3946 0.5196 Tl
0.6054 0.1250 0.9804 Tl
0.8750 0.8554 0.4804 Tl
0.2500 0.7500 0.5000 Ga
0.5000 0.5000 0.0000 Ga
```

=====

#x
A plane-wave DFT calculation with GGA-PBE was carried out for HfTl2Ga after structural relaxation.

## Properties
Space group: Fm-3m (225)
Magnetization (μB per atom): 0.000
V (Å³/f.u.): 96.7

Cell and atoms, written as POSCAR:
```
HfTl2Ga
1.0
0.0000 3.6428 3.6428
3.6428 0.0000 3.6428
3.6428 3.6428 0.0000
Hf Tl Ga
1 2 1
direct
0.0000 0.0000 0.0000 Hf
0.2500 0.2500 0.2500 Tl
0.7500 0.7500 0.7500 Tl
0.5000 0.5000 0.5000 Ga
```

=====

#y
A plane-wave DFT calculation with GGA-PBE was carried out for HfTl2Ga after structural relaxation.

## Properties
Space group: R-3m (166)
Magnetization (μB per atom): 0.000
V (Å³/f.u.): 102.9

Cell and atoms, written as POSCAR:
```
HfTl2Ga
1.0
1.6527 0.9542 10.8724
-1.6527 0.9542 10.8724
0.0000 -1.9084 10.8724
Hf Tl Ga
1 2 1
direct
0.0000 0.0000 0.0000 Hf
0.0901 0.0901 0.0901 Tl
0.9099 0.9099 0.9099 Tl
0.5000 0.5000 0.5000 Ga
```

=====

Which of them is most stable, and which least? Most stable: #w; least stable: #x.

=====

#w
A plane-wave DFT calculation with GGA-PBE was carried out for Hf3TlGa after structural relaxation.

## Properties
Space group: Pm-3m (221)
Magnetization (μB per atom): 0.000
V (Å³/f.u.): 144.9

Cell and atoms, written as POSCAR:
```
Hf3TlGa
1.0
5.2523 0.0000 0.0000
0.0000 5.2523 0.0000
0.0000 0.0000 5.2523
Hf Tl Ga
3 1 1
direct
0.0000 0.0000 0.5000 Hf
0.0000 0.5000 0.0000 Hf
0.5000 0.0000 0.0000 Hf
0.0000 0.0000 0.0000 Tl
0.5000 0.5000 0.5000 Ga
```

=====

#x
A plane-wave DFT calculation with GGA-PBE was carried out for Hf3TlGa after structural relaxation.

## Properties
Space group: Pm-3m (221)
Magnetization (μB per atom): 0.000
V (Å³/f.u.): 122.3

Cell and atoms, written as POSCAR:
```
Hf3TlGa
1.0
4.9641 0.0000 0.0000
0.0000 4.9641 0.0000
0.0000 0.0000 4.9641
Hf Tl Ga
3 1 1
direct
0.0000 0.0000 0.5000 Hf
0.0000 0.5000 0.0000 Hf
0.5000 0.0000 0.0000 Hf
0.5000 0.5000 0.5000 Tl
0.0000 0.0000 0.0000 Ga
```

=====

Which of them is most stable, and which least? Most stable: #x; least stable: #w.

=====

#w
A plane-wave DFT calculation with GGA-PBE was carried out for TmHfGa4 after structural relaxation.

## Properties
Space group: C2/m (12)
Magnetization (μB per atom): 0.000
V (Å³/f.u.): 130.7

Cell and atoms, written as POSCAR:
```
TmHfGa4
1.0
3.3384 -1.9925 0.0000
3.3384 1.9925 0.0000
-2.1735 0.0000 9.8232
Tm Hf Ga
1 1 4
direct
0.0000 0.0000 0.0000 Tm
0.5000 0.5000 0.5000 Hf
0.1050 0.1050 0.3285 Ga
0.4059 0.4059 0.2039 Ga
0.5941 0.5941 0.7961 Ga
0.8950 0.8950 0.6715 Ga
```

=====

#x
A plane-wave DFT calculation with GGA-PBE was carried out for TmHfGa4 after structural relaxation.

## Properties
Space group: F-43m (216)
Magnetization (μB per atom): 0.000
V (Å³/f.u.): 108.2

Cell and atoms, written as POSCAR:
```
TmHfGa4
1.0
0.0000 3.7819 3.7819
3.7819 0.0000 3.7819
3.7819 3.7819 0.0000
Tm Hf Ga
1 1 4
direct
0.0000 0.0000 0.0000 Tm
0.2500 0.2500 0.2500 Hf
0.1258 0.6248 0.6248 Ga
0.6248 0.1258 0.6248 Ga
0.6248 0.6248 0.1258 Ga
0.6248 0.6248 0.6248 Ga
```

=====

Which of them is most stable, and which least? Most stable: #x; least stable: #w.

=====

#w
A plane-wave DFT calculation with GGA-PBE was carried out for Hf2UGa after structural relaxation.

## Properties
Space group: P4/mmm (123)
Magnetization (μB per atom): 0.476
V (Å³/f.u.): 81.7

Cell and atoms, written as POSCAR:
```
Hf2UGa
1.0
4.5181 0.0000 0.0000
0.0000 4.5181 0.0000
0.0000 0.0000 4.0045
Hf U Ga
2 1 1
direct
0.0000 0.5000 0.0000 Hf
0.5000 0.0000 0.0000 Hf
0.0000 0.0000 0.5000 U
0.5000 0.5000 0.5000 Ga
```

=====

#x
A plane-wave DFT calculation with GGA-PBE was carried out for Hf2UGa after structural relaxation.

## Properties
Space group: Fm-3m (225)
Magnetization (μB per atom): 0.756
V (Å³/f.u.): 82.6

Cell and atoms, written as POSCAR:
```
Hf2UGa
1.0
0.0000 3.4567 3.4567
3.4567 0.0000 3.4567
3.4567 3.4567 0.0000
Hf U Ga
2 1 1
direct
0.2500 0.2500 0.2500 Hf
0.7500 0.7500 0.7500 Hf
0.0000 0.0000 0.0000 U
0.5000 0.5000 0.5000 Ga
```

=====

Which of them is most stable, and which least? Most stable: #w; least stable: #x.

=====

#w
A plane-wave DFT calculation with GGA-PBE was carried out for HfVGa2 after structural relaxation.

## Properties
Space group: Fm-3m (225)
Magnetization (μB per atom): 0.592
V (Å³/f.u.): 67.1

Cell and atoms, written as POSCAR:
```
HfVGa2
1.0
0.0000 3.2252 3.2252
3.2252 0.0000 3.2252
3.2252 3.2252 0.0000
Hf V Ga
1 1 2
direct
0.0000 0.0000 0.0000 Hf
0.5000 0.5000 0.5000 V
0.2500 0.2500 0.2500 Ga
0.7500 0.7500 0.7500 Ga
```

=====

#x
A plane-wave DFT calculation with GGA-PBE was carried out for HfVGa2 after structural relaxation.

## Properties
Space group: R-3m (166)
Magnetization (μB per atom): 0.000
V (Å³/f.u.): 68.0

Cell and atoms, written as POSCAR:
```
HfVGa2
1.0
1.4701 0.8488 9.0762
-1.4701 0.8488 9.0762
0.0000 -1.6976 9.0762
Hf V Ga
1 1 2
direct
0.0000 0.0000 0.0000 Hf
0.5000 0.5000 0.5000 V
0.2438 0.2438 0.2438 Ga
0.7562 0.7562 0.7562 Ga
```

=====

Which of them is most stable, and which least? Most stable: #w; least stable: #x.

=====

#w
A plane-wave DFT calculation with GGA-PBE was carried out for HfVGa2 after structural relaxation.

## Properties
Space group: P4/mmm (123)
Magnetization (μB per atom): 0.000
V (Å³/f.u.): 65.0

Cell and atoms, written as POSCAR:
```
HfVGa2
1.0
3.9866 0.0000 0.0000
0.0000 3.9866 0.0000
0.0000 0.0000 4.0907
Hf V Ga
1 1 2
direct
0.0000 0.0000 0.0000 Hf
0.5000 0.5000 0.0000 V
0.0000 0.5000 0.5000 Ga
0.5000 0.0000 0.5000 Ga
```

=====

#x
A plane-wave DFT calculation with GGA-PBE was carried out for HfVGa2 after structural relaxation.

## Properties
Space group: P4/mmm (123)
Magnetization (μB per atom): 0.167
V (Å³/f.u.): 65.5

Cell and atoms, written as POSCAR:
```
HfVGa2
1.0
3.3490 0.0000 0.0000
0.0000 3.3490 0.0000
0.0000 0.0000 5.8372
Hf V Ga
1 1 2
direct
0.0000 0.0000 0.0000 Hf
0.0000 0.0000 0.5000 V
0.5000 0.5000 0.2808 Ga
0.5000 0.5000 0.7192 Ga
```

=====

Which of them is most stable, and which least? Most stable: #w; least stable: #x.

=====

#w
A plane-wave DFT calculation with GGA-PBE was carried out for HfVGa after structural relaxation.

## Properties
Space group: Imma (74)
Magnetization (μB per atom): 0.000
V (Å³/f.u.): 49.9

Cell and atoms, written as POSCAR:
```
HfVGa
1.0
-2.5082 2.6572 3.7435
2.5082 -2.6572 3.7435
2.5082 2.6572 -3.7435
Hf V Ga
2 2 2
direct
0.3640 0.1140 0.2500 Hf
0.6360 0.8860 0.7500 Hf
0.0000 0.0000 0.5000 V
0.0000 0.5000 0.0000 V
0.0000 0.5000 0.5000 Ga
0.5000 0.5000 0.0000 Ga
```

=====

#x
A plane-wave DFT calculation with GGA-PBE was carried out for HfVGa after structural relaxation.

## Properties
Space group: I4mm (107)
Magnetization (μB per atom): 0.000
V (Å³/f.u.): 56.5

Cell and atoms, written as POSCAR:
```
HfVGa
1.0
-1.3800 1.3800 7.4197
1.3800 -1.3800 7.4197
1.3800 1.3800 -7.4197
Hf V Ga
1 1 1
direct
0.0000 0.0000 0.0000 Hf
0.8200 0.8200 0.0000 V
0.6506 0.6506 0.0000 Ga
```

=====

Which of them is most stable, and which least? Most stable: #w; least stable: #x.

=====

#w
A plane-wave DFT calculation with GGA-PBE was carried out for HfV2Ga2 after structural relaxation.

## Properties
Space group: I4/mmm (139)
Magnetization (μB per atom): 0.000
V (Å³/f.u.): 84.3

Cell and atoms, written as POSCAR:
```
HfV2Ga2
1.0
-2.0114 2.0114 5.2071
2.0114 -2.0114 5.2071
2.0114 2.0114 -5.2071
Hf V Ga
1 2 2
direct
0.0000 0.0000 0.0000 Hf
0.4070 0.4070 0.0000 V
0.5930 0.5930 0.0000 V
0.2500 0.7500 0.5000 Ga
0.7500 0.2500 0.5000 Ga
```

=====

#x
A plane-wave DFT calculation with GGA-PBE was carried out for HfV2Ga2 after structural relaxation.

## Properties
Space group: P4/mbm (127)
Magnetization (μB per atom): 0.000
V (Å³/f.u.): 79.3

Cell and atoms, written as POSCAR:
```
HfV2Ga2
1.0
6.9854 0.0000 0.0000
0.0000 6.9854 0.0000
0.0000 0.0000 3.2500
Hf V Ga
2 4 4
direct
0.0000 0.0000 0.0000 Hf
0.5000 0.5000 0.0000 Hf
0.1738 0.3262 0.5000 V
0.3262 0.8262 0.5000 V
0.6738 0.1738 0.5000 V
0.8262 0.6738 0.5000 V
0.1252 0.6252 0.0000 Ga
0.3748 0.1252 0.0000 Ga
0.6252 0.8748 0.0000 Ga
0.8748 0.3748 0.0000 Ga
```

=====

#y
A plane-wave DFT calculation with GGA-PBE was carried out for HfV2Ga2 after structural relaxation.

## Properties
Space group: P4/mbm (127)
Magnetization (μB per atom): 0.000
V (Å³/f.u.): 79.3

Cell and atoms, written as POSCAR:
```
HfV2Ga2
1.0
7.5869 0.0000 0.0000
0.0000 7.5869 0.0000
0.0000 0.0000 2.7538
Hf V Ga
2 4 4
direct
0.0000 0.0000 0.0000 Hf
0.5000 0.5000 0.0000 Hf
0.1109 0.3891 0.0000 V
0.3891 0.8891 0.0000 V
0.6109 0.1109 0.0000 V
0.8891 0.6109 0.0000 V
0.1825 0.6825 0.5000 Ga
0.3175 0.1825 0.5000 Ga
0.6825 0.8175 0.5000 Ga
0.8175 0.3175 0.5000 Ga
```

=====

Which of them is most stable, and which least? Most stable: #x; least stable: #w.

=====

#w
A plane-wave DFT calculation with GGA-PBE was carried out for Hf3GaW after structural relaxation.

## Properties
Space group: Pm-3m (221)
Magnetization (μB per atom): 0.000
V (Å³/f.u.): 129.0

Cell and atoms, written as POSCAR:
```
Hf3GaW
1.0
5.0529 0.0000 0.0000
0.0000 5.0529 0.0000
0.0000 0.0000 5.0529
Hf Ga W
3 1 1
direct
0.0000 0.0000 0.5000 Hf
0.0000 0.5000 0.0000 Hf
0.5000 0.0000 0.0000 Hf
0.5000 0.5000 0.5000 Ga
0.0000 0.0000 0.0000 W
```

=====

#x
A plane-wave DFT calculation with GGA-PBE was carried out for Hf3GaW after structural relaxation.

## Properties
Space group: Pm-3m (221)
Magnetization (μB per atom): 0.000
V (Å³/f.u.): 114.0

Cell and atoms, written as POSCAR:
```
Hf3GaW
1.0
4.8490 0.0000 0.0000
0.0000 4.8490 0.0000
0.0000 0.0000 4.8490
Hf Ga W
3 1 1
direct
0.0000 0.0000 0.5000 Hf
0.0000 0.5000 0.0000 Hf
0.5000 0.0000 0.0000 Hf
0.0000 0.0000 0.0000 Ga
0.5000 0.5000 0.5000 W
```

=====

Which of them is most stable, and which least? Most stable: #w; least stable: #x.

=====

#w
A plane-wave DFT calculation with GGA-PBE was carried out for HfGaW3 after structural relaxation.

## Properties
Space group: Pm-3m (221)
Magnetization (μB per atom): 0.000
V (Å³/f.u.): 111.0

Cell and atoms, written as POSCAR:
```
HfGaW3
1.0
4.8059 0.0000 0.0000
0.0000 4.8059 0.0000
0.0000 0.0000 4.8059
Hf Ga W
1 1 3
direct
0.0000 0.0000 0.0000 Hf
0.5000 0.5000 0.5000 Ga
0.0000 0.0000 0.5000 W
0.0000 0.5000 0.0000 W
0.5000 0.0000 0.0000 W
```

=====

#x
A plane-wave DFT calculation with GGA-PBE was carried out for HfGaW3 after structural relaxation.

## Properties
Space group: Pm-3m (221)
Magnetization (μB per atom): 0.000
V (Å³/f.u.): 98.0

Cell and atoms, written as POSCAR:
```
HfGaW3
1.0
4.6101 0.0000 0.0000
0.0000 4.6101 0.0000
0.0000 0.0000 4.6101
Hf Ga W
1 1 3
direct
0.0000 0.0000 0.0000 Hf
0.5000 0.5000 0.5000 Ga
0.0000 0.5000 0.5000 W
0.5000 0.0000 0.5000 W
0.5000 0.5000 0.0000 W
```

=====

Which of them is most stable, and which least? Most stable: #x; least stable: #w.